Compound: Pm3Er2Sc3
Source: the Alexandria database
Functional: GGA-PBE
Structure: relaxed

Properties
D(E_F)   12.71 states/eV per cell
ρ   6366 kg/m³
E   -41.95 eV for the cell shown

a = 4.7997 Å, b = 4.9609 Å, c = 10.4917 Å
α = 103.68°, β = 103.22°, γ = 90.00°
With the nearest neighbours (Å) after each atom.
Positions (direct):
Sc 0.1253 0.1253 0.2506  4 Er 3.42-3.53, 6 Pm 3.45, 2 Sc 3.51
Pm 0.5000 0.0000 0.0000  8 Sc 3.45, 4 Pm 3.47
Er 0.7481 0.2481 0.4963  4 Sc 3.42-3.53, 4 Er 3.45, 4 Pm 3.51
Pm 0.6227 0.6227 0.2454  6 Sc 3.42-3.45, 2 Pm 3.47, 4 Er 3.51
Er 0.2519 0.7519 0.5037  4 Sc 3.42-3.53, 4 Er 3.45, 4 Pm 3.51
Sc 0.0000 0.5000 0.0000  8 Pm 3.42-3.45, 4 Sc 3.51
Pm 0.3773 0.3773 0.7546  6 Sc 3.42-3.45, 2 Pm 3.47, 4 Er 3.51
Sc 0.8747 0.8747 0.7494  4 Er 3.42-3.53, 6 Pm 3.45, 2 Sc 3.51


Compound: K3MgSc2Se6
Source: the Alexandria database
Functional: GGA-PBE
Structure: relaxed

Properties
D(E_F)   6.77 states/eV per cell
Formation energy without anion corrections   -1.393 eV/atom
ρ   3671 kg/m³

a = 6.9137 Å, b = 6.9137 Å, c = 8.0453 Å
α = 98.23°, β = 98.23°, γ = 120.01°
With the nearest neighbours (Å) after each atom.
Positions (direct):
Se 0.5961 0.9345 0.8038  2 Sc 2.74, 1 Mg 2.79
Se 0.9345 0.5961 0.8038  2 Sc 2.74, 1 Mg 2.79
Sc 0.3331 0.6669 0.0000  6 Se 2.74
K 0.5000 0.5000 0.5000  6 Se 3.26-3.30
K 0.8348 0.1652 0.5000  6 Se 3.27-3.30
Se 0.7269 0.7269 0.1957  2 Sc 2.74, 1 Mg 2.78
Sc 0.6669 0.3331 0.0000  6 Se 2.74
Se 0.4039 0.0655 0.1962  2 Sc 2.74, 1 Mg 2.79
Se 0.2731 0.2731 0.8043  2 Sc 2.74, 1 Mg 2.78
Se 0.0655 0.4039 0.1962  2 Sc 2.74, 1 Mg 2.79
Mg 0.0000 0.0000 0.0000  6 Se 2.78-2.79
K 0.1652 0.8348 0.5000  6 Se 3.27-3.30


Compound: SiRuCl2
Source: the Alexandria database
Functional: GGA-PBE
Structure: relaxed

Properties
D(E_F)   3.79 states/eV per cell
Formation energy without anion corrections   0.457 eV/atom
ρ   4619 kg/m³
Energy relative to the lowest polymorph listed for this composition   0.756 eV/atom

a = 3.1522 Å, b = 3.1522 Å, c = 8.7820 Å
α = 90.00°, β = 90.00°, γ = 124.50°
With the nearest neighbours (Å) after each atom.
Positions (direct):
Cl 0.0000 0.0000 0.4658  2 Ru 2.40
Ru 0.5000 0.5000 0.2500  4 Cl 2.40
Cl 0.0000 0.0000 0.0342  2 Ru 2.40
Si 0.5000 0.5000 0.7500  4 Cl 2.90, 6 Si 2.94-3.15


Compound: YGaF
Source: the Alexandria database
Functional: GGA-PBE
Structure: relaxed

Properties
D(E_F)   2.42 states/eV per cell
Formation energy without anion corrections   -1.939 eV/atom
ρ   5077 kg/m³

a = 4.1972 Å, b = 4.1972 Å, c = 7.9192 Å
α = 97.54°, β = 97.54°, γ = 120.30°
With the nearest neighbours (Å) after each atom.
Positions (direct):
F 0.2900 0.2900 0.5801  3 Y 2.35-2.37, 2 F 2.42
Y 0.1363 0.1363 0.2726  3 F 2.35-2.37
F 0.7100 0.7100 0.4199  3 Y 2.35-2.37, 2 F 2.42
Ga 0.3327 0.6673 0.0000  3 Ga 2.41-2.44
Y 0.8637 0.8637 0.7274  3 F 2.35-2.37
Ga 0.6673 0.3327 0.0000  3 Ga 2.41-2.44


Compound: Nd5AgHg2Rh2
Source: the Alexandria database
Functional: GGA-PBE
Structure: relaxed

Properties
D(E_F)   15.29 states/eV per cell
ρ   8789 kg/m³
E   -92.95 eV for the cell shown

a = 3.7974 Å, b = 11.9540 Å, c = 11.9540 Å
α = 90.00°, β = 90.00°, γ = 90.00°
With the nearest neighbours (Å) after each atom.
Positions (direct):
Rh 0.0000 0.6310 0.8690  6 Nd 2.82-2.92
Nd 0.5000 0.5000 0.0000  4 Rh 2.92
Nd 0.5000 0.4140 0.3001  2 Rh 2.82
Nd 0.5000 0.3001 0.5860  2 Rh 2.82
Nd 0.5000 0.6999 0.4140  2 Rh 2.82
Ag 0.0000 0.0000 0.0000  8 Nd 3.22
Nd 0.5000 0.0000 0.5000  4 Rh 2.92
Nd 0.5000 0.9140 0.1999  2 Rh 2.82
Nd 0.5000 0.0860 0.8001  2 Rh 2.82
Nd 0.5000 0.1999 0.0860  2 Rh 2.82
Hg 0.0000 0.6723 0.1723  3 Rh 3.32-3.66, 6 Nd 3.47-3.48
Hg 0.0000 0.1723 0.3277  3 Rh 3.32-3.66, 6 Nd 3.47-3.48
Hg 0.0000 0.8277 0.6723  3 Rh 3.32-3.66, 6 Nd 3.47-3.48
Hg 0.0000 0.3277 0.8277  3 Rh 3.32-3.66, 6 Nd 3.47-3.48
Ag 0.0000 0.5000 0.5000  8 Nd 3.22
Nd 0.5000 0.8001 0.9140  2 Rh 2.82
Nd 0.5000 0.5860 0.6999  2 Rh 2.82
Rh 0.0000 0.3690 0.1310  6 Nd 2.82-2.92
Rh 0.0000 0.1310 0.6310  6 Nd 2.82-2.92
Rh 0.0000 0.8690 0.3690  6 Nd 2.82-2.92


Compound: CrOsPb2
Source: the Alexandria database
Functional: GGA-PBE
Structure: relaxed

Properties
D(E_F)   1.91 states/eV per cell
ρ   12505 kg/m³
Energy relative to the lowest polymorph listed for this composition   0.000 eV/atom

a = 3.0775 Å, b = 3.0775 Å, c = 9.2059 Å
α = 90.00°, β = 90.00°, γ = 90.02°
With the nearest neighbours (Å) after each atom.
Positions (direct):
Pb 0.5000 0.5000 0.3219  4 Cr 3.07, 4 Pb 3.08, 1 Os 3.38
Pb 0.0000 0.0000 0.9311  4 Pb 3.08, 4 Os 3.11, 1 Cr 3.44
Os 0.5000 0.5000 0.6896  4 Cr 2.49
Cr 0.0000 0.0000 0.5574  4 Os 2.49


Compound: InSnCl3
Source: the Alexandria database
Functional: GGA-PBE
Structure: relaxed

Properties
D(E_F)   0.00 states/eV per cell
Formation energy without anion corrections   -0.911 eV/atom
ρ   3813 kg/m³

a = 12.3081 Å, b = 11.9917 Å, c = 11.4369 Å
α = 63.33°, β = 60.53°, γ = 56.14°
With the nearest neighbours (Å) after each atom.
Positions (direct):
In 0.8251 0.1351 0.4920  3 Cl 2.91-3.10
Cl 0.9458 0.8344 0.4022  1 Sn 2.61
Cl 0.1825 0.5978 0.1656  1 Sn 2.61
Sn 0.1414 0.8377 0.1623  3 Cl 2.59-2.61
Sn 0.3249 0.9859 0.6751  2 Cl 2.54-2.69
In 0.1351 0.8251 0.5478  3 Cl 2.91-3.10
Cl 0.7184 0.6552 0.0570  2 Sn 2.90-2.96
Sn 0.6646 0.6646 0.3354  1 Cl 2.59
Cl 0.0745 0.5679 0.6919  1 Sn 2.96, 2 In 3.09-3.10
Cl 0.3847 0.6054 0.6153  1 Sn 2.82, 2 In 2.91
Cl 0.1766 0.1766 0.8234  2 Sn 2.69
In 0.0237 0.5088 0.4912  4 Cl 3.09-3.23
Cl 0.3343 0.3081 0.4321  1 Sn 2.96, 2 In 3.09-3.10
Sn 0.8377 0.1414 0.8586  3 Cl 2.59-2.61
Cl 0.8344 0.9458 0.8175  1 Sn 2.61
Cl 0.1017 0.1485 0.5485  1 Sn 2.63
Cl 0.7987 0.4515 0.8515  1 Sn 2.63
Cl 0.1696 0.8631 0.8304  1 Sn 2.54
Cl 0.9430 0.4306 0.2816  2 Sn 2.90-2.96
Cl 0.5978 0.1825 0.0542  1 Sn 2.61
In 0.5080 0.4522 0.1749  3 Cl 2.91-3.10
Sn 0.3720 0.3720 0.6280  6 Cl 2.82-2.96
Cl 0.3156 0.7042 0.2958  1 Sn 2.59
Cl 0.8631 0.1696 0.1369  1 Sn 2.54
In 0.6414 0.0197 0.3586  5 Cl 3.00-3.29
Cl 0.3081 0.3343 0.9255  1 Sn 2.96, 2 In 3.09-3.10
Cl 0.7042 0.3156 0.6844  1 Sn 2.59
Cl 0.6552 0.7184 0.5694  2 Sn 2.90-2.96
Cl 0.4515 0.7987 0.8983  1 Sn 2.63
Cl 0.8073 0.8073 0.1927  1 Sn 2.59
Cl 0.1485 0.1017 0.2013  1 Sn 2.63
Cl 0.5679 0.0745 0.6657  1 Sn 2.96, 2 In 3.09-3.10
Cl 0.6054 0.3847 0.3946  1 Sn 2.82, 2 In 2.91
In 0.0197 0.6414 0.9803  5 Cl 3.00-3.29
Sn 0.2200 0.2200 0.2800  4 Cl 2.63-2.90
Cl 0.4306 0.9430 0.3448  2 Sn 2.90-2.96
In 0.5088 0.0237 0.9763  4 Cl 3.09-3.23
Sn 0.7200 0.7200 0.7800  4 Cl 2.63-2.90
In 0.4522 0.5080 0.8649  3 Cl 2.91-3.10
Sn 0.9859 0.3249 0.0141  2 Cl 2.54-2.69


Compound: RbTe3P
Source: the Alexandria database
Functional: GGA-PBE
Structure: relaxed

Properties
Formation energy without anion corrections   -0.295 eV/atom
ρ   3968 kg/m³
Energy relative to the lowest polymorph listed for this composition   0.000 eV/atom

a = 8.1965 Å, b = 5.7739 Å, c = 9.0905 Å
α = 76.23°, β = 90.00°, γ = 90.00°
With the nearest neighbours (Å) after each atom.
Positions (direct):
P 0.5333 0.8173 0.0709  3 Te 2.49-2.56
Te 0.1262 0.6316 0.5621  1 P 2.49
Rb 0.9259 0.2403 0.2973  7 Te 3.79-4.10
Te 0.0521 0.9391 0.9006  1 P 2.56, 1 Te 2.78
Te 0.6262 0.7212 0.3395  1 P 2.49
Te 0.5521 0.4137 0.0010  1 P 2.56, 1 Te 2.78
Rb 0.4259 0.1125 0.6042  7 Te 3.79-4.10
P 0.0333 0.5355 0.8307  3 Te 2.49-2.56
Te 0.7406 0.5510 0.7402  1 P 2.53, 1 Te 2.78
Te 0.2405 0.8017 0.1613  1 P 2.53, 1 Te 2.78


Compound: Pm4Cd5Sn2
Source: the Alexandria database
Functional: GGA-PBE
Structure: relaxed

Properties
D(E_F)   8.30 states/eV per cell
ρ   7575 kg/m³
E   -35.56 eV for the cell shown

a = 3.6843 Å, b = 8.0418 Å, c = 10.2478 Å
α = 95.14°, β = 90.00°, γ = 90.00°
With the nearest neighbours (Å) after each atom.
Positions (direct):
Sn 0.0000 0.0674 0.6377  1 Sn 2.93, 2 Cd 3.08, 2 Pm 3.18
Pm 0.5000 0.8301 0.1147  2 Sn 3.18, 8 Cd 3.33-3.54
Pm 0.5000 0.1699 0.8853  2 Sn 3.18, 8 Cd 3.33-3.54
Cd 0.0000 0.5000 0.0000  4 Cd 3.01-3.08, 4 Pm 3.36
Pm 0.5000 0.2728 0.4390  4 Sn 3.30-3.33, 6 Cd 3.35-3.48, 2 Pm 3.68
Cd 0.0000 0.1906 0.1574  1 Sn 3.08, 2 Cd 3.08-3.11, 6 Pm 3.33-3.44
Cd 0.0000 0.5518 0.2950  2 Cd 3.01-3.11, 1 Sn 3.08, 2 Pm 3.35
Sn 0.0000 0.9326 0.3623  1 Sn 2.93, 2 Cd 3.08, 2 Pm 3.18
Cd 0.0000 0.4482 0.7050  2 Cd 3.01-3.11, 1 Sn 3.08, 2 Pm 3.35
Pm 0.5000 0.7272 0.5610  4 Sn 3.30-3.33, 6 Cd 3.35-3.48, 2 Pm 3.68
Cd 0.0000 0.8094 0.8426  1 Sn 3.08, 2 Cd 3.08-3.11, 6 Pm 3.33-3.44


Compound: Li6MgRh2
Source: the Alexandria database
Functional: GGA-PBE
Structure: relaxed

Properties
D(E_F)   3.28 states/eV per cell
ρ   3208 kg/m³
Energy relative to the lowest polymorph listed for this composition   0.038 eV/atom

a = 4.4323 Å, b = 5.2124 Å, c = 6.9846 Å
α = 111.91°, β = 108.50°, γ = 90.00°
With the nearest neighbours (Å) after each atom.
Positions (direct):
Rh 0.6049 0.1049 0.2097  1 Rh 2.55, 10 Li 2.69-2.82
Li 0.0000 0.2069 0.0000  1 Li 2.16
Li 0.2041 0.9634 0.4081  5 Li 2.48-2.70, 1 Rh 2.69
Mg 0.5000 0.5000 0.0000  4 Li 2.69, 4 Rh 2.90
Li 0.7959 0.0366 0.5919  5 Li 2.48-2.70, 1 Rh 2.69
Li 0.0000 0.7931 0.0000  1 Li 2.16
Li 0.2041 0.4448 0.4081  5 Li 2.48-2.70, 1 Rh 2.69
Li 0.7959 0.5552 0.5919  5 Li 2.48-2.70, 1 Rh 2.69
Rh 0.3951 0.8951 0.7903  1 Rh 2.55, 10 Li 2.69-2.82